Below is crystalline NaPmGaO4 at its relaxed geometry, with properties calculated at the GGA-PBE level.

**E_form (uncorrected)**: -2034 meV/atom
**Total magnetization**: 0.15 μB per atom
**Total energy**: -6.17 eV/atom
**Crystal system**: orthorhombic

Cell: 6.025 7.205 9.153 Å, 90.00 90.00 90.00°
Space group Imma (No. 74)
Symmetry-distinct sites (fractional):
Na (0.250, 0.250, 0.250) x4
Pm (0.000, 0.000, 0.000) x4
Ga (0.000, 0.250, 0.621) x4
O (0.000, 0.030, 0.739) x8
O (0.248, 0.250, 0.999) x8

---

Below is crystalline Ac2HfAg at its relaxed geometry, with properties calculated at the GGA-PBE level.

**Total magnetization**: 0.08 μB per atom
**Total energy**: -4.69 eV/atom
**Crystal system**: trigonal

Cell: 3.5239 3.5239 35.4814 Å, 90.00 90.00 120.00°
Space group R-3m (No. 166, hexagonal axes)
Symmetry-distinct sites (fractional):
Ac (0.0000, 0.0000, 0.0909) x6
Hf (0.0000, 0.0000, 0.0000) x3
Ag (0.0000, 0.0000, 0.5000) x3

---

Below is crystalline Zr2Si2W at its relaxed geometry, with properties calculated at the GGA-PBE level.

**E_form (uncorrected)**: -739 meV/atom
**Total magnetization**: 0.00 μB per atom
**Total energy**: -8.92 eV/atom
**Crystal system**: tetragonal

Cell: 6.723 6.723 3.800 Å, 90.00 90.00 90.00°
Space group P4/mbm (No. 127)
Symmetry-distinct sites (fractional):
Zr (0.174, 0.326, 0.000) x4
Si (0.128, 0.628, 0.500) x4
W (0.000, 0.000, 0.500) x2

---

Below is crystalline SrZn2Fe at its relaxed geometry, with properties calculated at the GGA-PBE level.

**Total magnetization**: 0.65 μB per atom
**Total energy**: -2.75 eV/atom
**Crystal system**: tetragonal

Cell: 4.529 4.529 8.007 Å, 90.00 90.00 90.00°
Space group I-4m2 (No. 119)
Symmetry-distinct sites (fractional):
Sr (0.000, 0.000, 0.000) x2
Zn (0.000, 0.000, 0.500) x2
Zn (0.000, 0.500, 0.750) x2
Fe (0.000, 0.500, 0.250) x2

---

Question: What is the total magnetization in the second record?
Answer: 0.08 μB per atom